# 1
KCa4B22H18ClO46: optimized geometry, PBE.

Lattice parameters (Å, degrees): 6.6358 6.6603 24.2757 95.62 90.47 119.45
With the nearest neighbours (Å) after each atom.
Positions (direct):
K 0.0000 0.0000 0.0000  5 O 2.86-3.13, 1 H 3.16
Ca 0.1989 0.3778 0.8566  7 O 2.42-2.70
Ca 0.2996 0.6516 0.4418  3 O 2.29-2.51
Ca 0.5190 0.0146 0.1190  6 O 2.46-2.65, 1 Cl 2.74
Ca 0.8247 0.6962 0.5355  3 O 2.29-2.51
B 0.0244 0.9315 0.1366  4 O 1.45-1.50
B 0.1382 0.2149 0.2225  3 O 1.37-1.38
B 0.1740 0.2900 0.7338  3 O 1.37-1.38
B 0.2035 0.3548 0.1294  4 O 1.47-1.51
B 0.2549 0.2013 0.5522  3 O 1.35-1.42
B 0.3012 0.9763 0.8672  3 O 1.37-1.39
B 0.3402 0.6094 0.5661  4 O 1.46-1.52
B 0.4110 0.2366 0.4328  3 O 1.35-1.39
B 0.4448 0.8657 0.6547  3 O 1.37-1.38
B 0.5224 0.0342 0.5660  4 O 1.48-1.49
B 0.5563 0.0534 0.2428  3 O 1.37-1.38
B 0.6111 0.8820 0.8612  3 O 1.35-1.41
B 0.6228 0.6092 0.1094  3 O 1.35-1.39
B 0.6907 0.2737 0.8414  4 O 1.45-1.50
B 0.7204 0.1398 0.4249  3 O 1.35-1.42
B 0.7749 0.4774 0.7559  3 O 1.37-1.38
B 0.7979 0.5342 0.4111  4 O 1.46-1.52
B 0.8563 0.7034 0.3226  3 O 1.37-1.38
B 0.8737 0.7037 0.8494  4 O 1.47-1.50
B 0.9358 0.5196 0.1152  3 O 1.36-1.41
B 0.9415 0.2906 0.5444  3 O 1.35-1.39
B 0.9804 0.9591 0.4114  4 O 1.48-1.49
H 0.0121 0.9514 0.7632  1 O 1.00
H 0.0876 0.1340 0.3030  1 O 1.00
H 0.2102 0.3914 0.6586  1 O 1.00
H 0.2540 0.5181 0.3187  1 O 1.00
H 0.3109 0.5905 0.9735  1 O 0.99
H 0.3398 0.6496 0.7429  1 O 1.01
H 0.3849 0.6875 0.2145  1 O 1.00
H 0.3910 0.7990 0.3301  1 O 0.99
H 0.4490 0.4598 0.9621  1 O 1.01
H 0.5373 0.0313 0.7352  1 O 1.00
H 0.6166 0.2270 0.3180  1 O 1.00
H 0.6770 0.3486 0.9885  1 O 0.99
H 0.6893 0.3195 0.6754  1 O 1.00
H 0.7142 0.4028 0.2337  1 O 1.01
H 0.7764 0.4910 0.9375  1 O 1.00
H 0.8466 0.6839 0.6587  1 O 1.00
H 0.9104 0.7903 0.2422  1 O 1.00
H 0.9774 0.9528 0.6467  1 O 0.99
Cl 0.4906 0.9737 0.0052  2 H 2.26-2.27
O 0.0156 0.1308 0.5507  2 B 1.39-1.42
O 0.0321 0.9878 0.1981  2 B 1.38-1.50
O 0.0767 0.9200 0.8751  2 B 1.37-1.48
O 0.0939 0.7511 0.1249  2 B 1.37-1.49
O 0.1026 0.1243 0.7694  1 H 1.00
O 0.1031 0.5167 0.5368  2 B 1.39-1.52
O 0.1488 0.2465 0.6771  1 H 1.00
O 0.1531 0.2641 0.2795  1 H 1.00
O 0.1861 0.1827 0.4321  2 B 1.35-1.48
O 0.1927 0.1327 0.1119  2 B 1.45-1.47
O 0.2320 0.3993 0.1917  2 B 1.37-1.51
O 0.2744 0.5080 0.7634  1 H 1.01
O 0.2900 0.4411 0.9556  2 H 0.99-1.01
O 0.3011 0.0247 0.5494  2 B 1.35-1.49
O 0.3044 0.6541 0.3474  2 H 0.99-1.00
O 0.3233 0.6467 0.6260  2 B 1.38-1.46
O 0.3741 0.8121 0.8649  2 B 1.39-1.41
O 0.3957 0.5490 0.1062  2 B 1.35-1.47
O 0.4149 0.4324 0.5555  2 B 1.37-1.49
O 0.4500 0.8773 0.7118  1 H 1.00
O 0.4560 0.2032 0.8615  2 B 1.37-1.49
O 0.4777 0.8528 0.2077  1 H 1.00
O 0.4818 0.0707 0.4264  2 B 1.39-1.42
O 0.5061 0.8132 0.5413  2 B 1.46-1.49
O 0.5485 0.0646 0.2994  1 H 1.00
O 0.5528 0.0605 0.6277  2 B 1.37-1.49
O 0.5768 0.4702 0.4405  2 B 1.39-1.52
O 0.6434 0.2418 0.2130  1 H 1.01
O 0.6598 0.7085 0.8649  2 B 1.35-1.49
O 0.6778 0.2734 0.7798  2 B 1.38-1.50
O 0.6973 0.4466 0.1094  2 B 1.39-1.41
O 0.7170 0.2376 0.5453  2 B 1.35-1.48
O 0.7222 0.5002 0.9755  2 H 0.99-1.00
O 0.7485 0.5130 0.3514  2 B 1.38-1.46
O 0.7668 0.1066 0.8544  2 B 1.37-1.49
O 0.7671 0.4724 0.6988  1 H 1.00
O 0.7679 0.9657 0.4276  2 B 1.35-1.49
O 0.7833 0.8425 0.1127  2 B 1.38-1.49
O 0.8328 0.6592 0.2655  1 H 1.00
O 0.8667 0.4983 0.8685  2 B 1.45-1.47
O 0.8787 0.3678 0.4218  2 B 1.37-1.49
O 0.8816 0.6905 0.7873  2 B 1.37-1.50
O 0.8815 0.7905 0.6296  2 H 0.99-1.00
O 0.9773 0.7622 0.4360  2 B 1.46-1.48
O 0.9784 0.9248 0.3496  2 B 1.37-1.49
O 0.9823 0.3418 0.1110  2 B 1.36-1.49

=====

# 2
CaBMo2Cl: optimized geometry, PBE.

Formation energy from raw total energies in eV/atom: 0.4305

Lattice parameters (Å, degrees): 4.1412 4.1412 6.0182 90.00 90.00 90.00
With the nearest neighbours (Å) after each atom.
Positions (direct):
Ca 0.0000 0.0000 0.0000  4 Cl 2.93, 2 B 3.01
B 0.0000 0.0000 0.5000  4 Mo 2.07
Mo 0.0000 0.5000 0.5000  2 B 2.07
Mo 0.5000 0.0000 0.5000  2 B 2.07
Cl 0.5000 0.5000 0.0000  4 Ca 2.93

=====

Going through the records in order, we get energy values of -6.98; -6.01 eV per atom.
Going through the records in order, we get mass density values of 2196; 4476 kg/m3.